Computed, not measured: a geometry-optimized ScCoMo2 structure at the PBE level of DFT.

Values from the calculation:
SG = P2/m, No. 10
Relative energy among the computed polymorphs = 0.148 eV per atom
Formation enthalpy at 0 K = 164.2 meV per atom

a b c (Å): 4.5822 2.7735 5.0083
angles (deg): 78.41 90.00 90.00
Fractional coordinates of all 4 atoms:
Mo1 0.0000 0.9767 0.9994
Mo2 0.0000 0.5233 0.5006
Sc1 0.5000 0.2500 0.2500
Co1 0.5000 0.7500 0.7500